(1)
This record from the Alexandria database describes a relaxed structure of PuPaAg2O6. The functional is PBE.

- raw formation energy (kJ per mole of atoms) = -205.9
- magnetic moment (Bohr magnetons per cell) = 3.0
- D(E_F) (states/eV/cell) = 6.64
- calculated volume (Å³/cell) = 162
- space group = No. 99

Lattice parameters (Å, degrees): 4.264 6.156 6.156 90.00 90.00 90.00
Fractional coordinates of all 10 atoms:
O 0.690 0.248 0.752
O 0.690 0.248 0.248
O 0.690 0.752 0.752
Pa 0.661 0.500 0.500
O 0.175 0.000 0.000
O 0.690 0.752 0.248
Ag 0.006 0.500 0.000
Ag 0.006 0.000 0.500
Pu 0.674 0.000 0.000
O 0.165 0.500 0.500

***

(2)
This record from the Alexandria database describes a relaxed structure of RbPaAgO4. The functional is PBE.

- raw formation energy (kJ per mole of atoms) = -202.5
- magnetic moment (Bohr magnetons per cell) = 1.9
- D(E_F) (states/eV/cell) = 2.30
- calculated volume (Å³/cell) = 269
- space group = No. 74

Lattice parameters (Å, degrees): 6.572 7.568 7.013 117.60 90.00 115.74
Fractional coordinates of all 14 atoms:
O 0.321 0.035 0.767
O 0.688 0.376 0.633
O 0.688 0.376 0.243
Pa 0.500 0.000 0.000
Ag 0.500 0.500 0.500
O 0.286 0.965 0.233
Rb 0.831 0.661 0.081
Ag 0.000 0.500 0.500
O 0.312 0.624 0.757
Pa 0.500 0.000 0.500
Rb 0.169 0.339 0.919
O 0.714 0.035 0.767
O 0.312 0.624 0.367
O 0.679 0.965 0.233

***

- Which value of D(E_F) does entry 2 give?
  2.30 states/eV/cell

***

What did the first record say?
This record from the Alexandria database describes a relaxed structure of PuPaAg2O6. The functional is PBE.

- raw formation energy (kJ per mole of atoms) = -205.9
- magnetic moment (Bohr magnetons per cell) = 3.0
- D(E_F) (states/eV/cell) = 6.64
- calculated volume (Å³/cell) = 162
- space group = No. 99

Lattice parameters (Å, degrees): 4.264 6.156 6.156 90.00 90.00 90.00
Fractional coordinates of all 10 atoms:
O 0.690 0.248 0.752
O 0.690 0.248 0.248
O 0.690 0.752 0.752
Pa 0.661 0.500 0.500
O 0.175 0.000 0.000
O 0.690 0.752 0.248
Ag 0.006 0.500 0.000
Ag 0.006 0.000 0.500
Pu 0.674 0.000 0.000
O 0.165 0.500 0.500